PBE TbHo3Rh3, optimized geometry; energy relative to the elements = -734 meV/atom; excess energy over the best structure of this formula in the dataset = 3 meV/atom; DFT total energy = -0.2392 Ha/atom; density of states at the Fermi level = 0.45 states/eV per atom; SG = C2/m, No. 12
1.0
6.723 1.521 0.401
-1.634 6.696 0.401
-0.288 -0.465 6.670
Rh Ho Tb
6 6 2
Direct
0.000 0.500 0.749
0.000 0.000 0.749
0.000 0.500 0.251
0.500 0.000 0.251
0.500 0.000 0.749
0.000 0.000 0.251
0.755 0.755 0.501
0.755 0.245 0.500
0.245 0.755 0.500
0.761 0.239 0.000
0.245 0.245 0.499
0.239 0.761 0.000
0.747 0.747 0.001
0.253 0.253 0.999